No. 1
# La2MgRe (meta-GGA SCAN, single point on PBEsol structure)
# DFT formation energy, meV/atom: 418
# Mass density, kg/m3: 7647
data_La2MgRe
_chemical_formula_sum 'La6 Mg3 Re3'
_cell_length_a 3.4210
_cell_length_b 3.4210
_cell_length_c 31.3872
_cell_angle_alpha 90.00
_cell_angle_beta 90.00
_cell_angle_gamma 120.00
_symmetry_space_group_name_H-M 'R -3 m'
_symmetry_Int_Tables_number 166
_symmetry_space_group_name_Hall '-R 3 2"'
loop_
_atom_site_label
_atom_site_fract_x
_atom_site_fract_y
_atom_site_fract_z
La1 0.0000 0.0000 0.2350
Mg1 0.0000 0.0000 0.0000
Re1 0.0000 0.0000 0.5000

=====

No. 2
# LaMgRe2 (meta-GGA SCAN, single point on PBEsol structure)
# DFT formation energy, meV/atom: 63
# Mass density, kg/m3: 11270
data_LaMgRe2
_chemical_formula_sum 'La1 Mg1 Re2'
_cell_length_a 3.1025
_cell_length_b 3.1025
_cell_length_c 8.1987
_cell_angle_alpha 90.00
_cell_angle_beta 90.00
_cell_angle_gamma 90.00
_symmetry_space_group_name_H-M 'P 4 m m'
_symmetry_Int_Tables_number 99
_symmetry_space_group_name_Hall 'P 4 -2'
loop_
_atom_site_label
_atom_site_fract_x
_atom_site_fract_y
_atom_site_fract_z
La1 0.0000 0.0000 0.0000
Mg1 0.5000 0.5000 0.3393
Re1 0.0000 0.0000 0.5600
Re2 0.5000 0.5000 0.7242

=====

No. 3
# LaMg2Rh (meta-GGA SCAN, single point on PBEsol structure)
# DFT formation energy, meV/atom: -98
# Mass density, kg/m3: 5666
data_LaMg2Rh
_chemical_formula_sum 'La3 Mg6 Rh3'
_cell_length_a 3.1348
_cell_length_b 3.1348
_cell_length_c 30.0047
_cell_angle_alpha 90.00
_cell_angle_beta 90.00
_cell_angle_gamma 120.00
_symmetry_space_group_name_H-M 'R -3 m'
_symmetry_Int_Tables_number 166
_symmetry_space_group_name_Hall '-R 3 2"'
loop_
_atom_site_label
_atom_site_fract_x
_atom_site_fract_y
_atom_site_fract_z
La1 0.0000 0.0000 0.0000
Mg1 0.0000 0.0000 0.2310
Rh1 0.0000 0.0000 0.5000